InGaTeSe (PBE-GGA, optimized geometry); ΔE_f (raw) = -0.38 eV/atom
1.0
4.111 0.000 0.000
-2.055 3.560 0.000
0.000 0.000 9.043
In Ga Te Se
1 1 1 1
Cartesian
0.000 0.000 0.000 In
0.000 0.000 2.644 Ga
0.000 2.373 7.520 Te
2.055 1.187 3.696 Se


Mn3B4 (PBE-GGA, optimized geometry); formation energy = -2.8 eV/f.u.
1.0
-1.476 1.486 6.379
1.476 -1.486 6.379
1.476 1.486 -6.379
Mn B
3 4
Cartesian
0.000 0.000 0.000 Mn
1.476 0.000 2.375 Mn
0.000 1.486 4.004 Mn
1.476 0.000 4.558 B
0.000 0.000 5.522 B
0.000 0.000 7.235 B
0.000 1.486 1.821 B


RePIrS2 (PBE-GGA, optimized geometry); ΔE_f (raw) = 1.16 eV/atom; ΔE to the lowest computed polymorph = 0 meV/atom
1.0
4.474 0.000 0.000
0.000 4.474 0.000
0.000 0.000 4.739
Re P Ir S
1 1 1 2
Cartesian
0.000 0.000 0.000 Re
0.000 0.000 2.369 P
2.237 2.237 2.369 Ir
0.000 2.237 0.000 S
2.237 0.000 0.000 S